No. 1
Compound: PuPaAu
Source: the Alexandria database
Functional: GGA-PBE
Structure: relaxed

a = 3.017 Å, b = 4.999 Å, c = 4.999 Å
α = 120.00°, β = 90.00°, γ = 90.00°
Fractional positions:
Pa: 0.833 0.000 0.000
Au: 0.333 0.333 0.667
Pu: 0.834 0.667 0.333

Properties
ΔE to the lowest computed polymorph in meV/atom: 118
Space-group type: P-6m2, No. 187
Energy of formation from the pure elements in meV/atom: -72.0
Final energy in eV per atom: -9.107

No. 2
Compound: Dy3ScAl
Source: the Alexandria database
Functional: GGA-PBE
Structure: relaxed

a = 6.765 Å, b = 8.315 Å, c = 10.064 Å
α = 72.37°, β = 90.00°, γ = 90.00°
Fractional positions:
Dy: 0.000 0.776 0.306
Dy: 0.000 0.224 0.694
Dy: 0.500 0.224 0.194
Dy: 0.500 0.776 0.806
Dy: 0.500 0.776 0.306
Dy: 0.500 0.224 0.694
Dy: 0.000 0.224 0.194
Dy: 0.000 0.776 0.806
Dy: 0.250 0.594 0.602
Dy: 0.750 0.406 0.398
Dy: 0.750 0.406 0.898
Dy: 0.250 0.594 0.102
Sc: 0.250 0.015 0.496
Sc: 0.750 0.985 0.504
Sc: 0.750 0.985 0.004
Sc: 0.250 0.015 0.996
Al: 0.750 0.611 0.097
Al: 0.250 0.389 0.903
Al: 0.250 0.389 0.403
Al: 0.750 0.611 0.597

Properties
ΔE to the lowest computed polymorph in meV/atom: 0
Space-group type: Cmcm, No. 63
Energy of formation from the pure elements in meV/atom: -135.6
Final energy in eV per atom: -4.912

No. 3
Compound: Ir2SeCl
Source: the Alexandria database
Functional: GGA-PBE
Structure: relaxed

a = 6.127 Å, b = 6.127 Å, c = 6.136 Å
α = 60.05°, β = 60.05°, γ = 90.00°
Fractional positions:
Ir: 0.644 0.125 0.250
Ir: 0.106 0.625 0.250
Ir: 0.375 0.356 0.750
Ir: 0.875 0.894 0.750
Se: 0.000 0.000 0.000
Se: 0.750 0.250 0.500
Cl: 0.500 0.500 0.000
Cl: 0.250 0.750 0.500

Properties
ΔE to the lowest computed polymorph in meV/atom: 673
Uncorrected formation energy in eV per formula unit: 2.83
Space-group type: I-42d, No. 122
Final energy in eV per atom: -5.057

No. 4
Compound: MoPb2Cl
Source: the Alexandria database
Functional: GGA-PBE
Structure: relaxed

a = 7.615 Å, b = 7.615 Å, c = 4.496 Å
α = 72.84°, β = 72.84°, γ = 24.42°
Fractional positions:
Cl: 0.250 0.250 0.250
Mo: 0.750 0.750 0.750
Pb: 0.066 0.066 0.934
Pb: 0.434 0.434 0.566

Properties
ΔE to the lowest computed polymorph in meV/atom: 207
Uncorrected formation energy in eV per formula unit: 1.74
Space-group type: Immm, No. 71
Final energy in eV per atom: -4.589

No. 5
Compound: BaPaPdO6
Source: the Alexandria database
Functional: GGA-PBE
Structure: relaxed

a = 5.579 Å, b = 5.579 Å, c = 11.564 Å
α = 90.00°, β = 90.00°, γ = 120.00°
Fractional positions:
Ba: 0.000 0.000 0.000
Ba: 0.000 0.000 0.500
Pa: 0.333 0.667 0.250
Pa: 0.667 0.333 0.750
Pd: 0.667 0.333 0.250
Pd: 0.333 0.667 0.750
O: 0.636 0.617 0.152
O: 0.981 0.364 0.152
O: 0.364 0.981 0.652
O: 0.019 0.636 0.848
O: 0.383 0.364 0.348
O: 0.981 0.617 0.348
O: 0.617 0.981 0.848
O: 0.636 0.019 0.348
O: 0.019 0.383 0.652
O: 0.383 0.019 0.152
O: 0.617 0.636 0.652
O: 0.364 0.383 0.848

Properties
Uncorrected formation energy in eV per formula unit: -18.99
Space-group type: P-31c, No. 163
Final energy in eV per atom: -7.261

No. 6
Compound: La2ZnIrAu
Source: the Alexandria database
Functional: GGA-PBE
Structure: relaxed

a = 5.497 Å, b = 5.497 Å, c = 4.836 Å
α = 90.00°, β = 90.00°, γ = 90.00°
Fractional positions:
Zn: 0.000 0.000 0.500
Ir: 0.000 0.000 0.000
Au: 0.500 0.500 0.500
La: 0.000 0.500 0.000
La: 0.500 0.000 0.000

Properties
ΔE to the lowest computed polymorph in meV/atom: 197
Space-group type: P4/mmm, No. 123
Energy of formation from the pure elements in meV/atom: -496.0
Final energy in eV per atom: -5.149

No. 7
Compound: Tb2Dy3Cd2
Source: the Alexandria database
Functional: GGA-PBE
Structure: relaxed

a = 5.380 Å, b = 5.385 Å, c = 8.539 Å
α = 108.34°, β = 90.00°, γ = 119.97°
Fractional positions:
Tb: 0.926 0.852 0.277
Tb: 0.074 0.148 0.723
Dy: 0.500 0.000 0.000
Dy: 0.656 0.313 0.469
Dy: 0.344 0.687 0.531
Cd: 0.788 0.576 0.864
Cd: 0.212 0.424 0.136

Properties
ΔE to the lowest computed polymorph in meV/atom: 0
Space-group type: R-3m, No. 166
Energy of formation from the pure elements in meV/atom: -154.8
Final energy in eV per atom: -3.712

No. 8
Compound: SrLi2Si
Source: the Alexandria database
Functional: GGA-PBE
Structure: relaxed

a = 3.670 Å, b = 3.670 Å, c = 6.943 Å
α = 90.00°, β = 90.00°, γ = 90.00°
Fractional positions:
Li: 0.000 0.000 0.074
Li: 0.000 0.000 0.426
Si: 0.500 0.500 0.250
Sr: 0.500 0.500 0.750

Properties
Uncorrected formation energy in eV per formula unit: 0.28
Space-group type: P4/mmm, No. 123
Final energy in eV per atom: -2.664

No. 9
Compound: Ac8NiTe4P3
Source: the Alexandria database
Functional: GGA-PBE
Structure: relaxed

a = 9.050 Å, b = 9.305 Å, c = 9.050 Å
α = 119.10°, β = 120.00°, γ = 90.00°
Fractional positions:
Ac: 0.236 0.716 0.980
Ac: 0.236 0.716 0.473
Ac: 0.261 0.282 0.522
Ac: 0.743 0.716 0.980
Ac: 0.257 0.284 0.020
Ac: 0.739 0.718 0.478
Ac: 0.764 0.284 0.527
Ac: 0.764 0.284 0.020
Ni: 0.000 0.500 0.000
Te: 0.500 0.000 0.000
Te: 0.500 0.000 0.500
Te: 0.000 0.000 0.000
Te: 0.000 0.000 0.500
P: 0.500 0.500 0.000
P: 0.500 0.500 0.500
P: 0.000 0.500 0.500

Properties
Uncorrected formation energy in eV per formula unit: -21.66
Space-group type: R-3m, No. 166
Final energy in eV per atom: -5.569

No. 10
Compound: RbCd2GeOs
Source: the Alexandria database
Functional: GGA-PBE
Structure: relaxed

a = 5.371 Å, b = 5.371 Å, c = 4.762 Å
α = 90.00°, β = 90.00°, γ = 90.00°
Fractional positions:
Ge: 0.000 0.000 0.500
Os: 0.000 0.000 0.000
Rb: 0.500 0.500 0.500
Cd: 0.000 0.500 0.000
Cd: 0.500 0.000 0.000

Properties
Space-group type: P4/mmm, No. 123
Energy of formation from the pure elements in meV/atom: 73.2
Final energy in eV per atom: -3.656

No. 11
Compound: Co2Se
Source: the Alexandria database
Functional: GGA-PBE
Structure: relaxed

a = 4.191 Å, b = 4.191 Å, c = 7.281 Å
α = 81.42°, β = 81.42°, γ = 50.39°
Fractional positions:
Co: 0.517 0.517 0.668
Co: 0.158 0.158 0.451
Co: 0.842 0.842 0.549
Co: 0.483 0.483 0.332
Se: 0.802 0.802 0.225
Se: 0.198 0.198 0.775

Properties
ΔE to the lowest computed polymorph in meV/atom: 123
Uncorrected formation energy in eV per formula unit: -0.02
Space-group type: C2/m, No. 12
Final energy in eV per atom: -5.907

No. 12
Compound: Tb2Ga3Ni4Pt
Source: the Alexandria database
Functional: GGA-PBE
Structure: relaxed

a = 3.855 Å, b = 3.855 Å, c = 11.033 Å
α = 90.00°, β = 90.00°, γ = 90.00°
Fractional positions:
Tb: 0.500 0.000 0.260
Tb: 0.000 0.500 0.740
Ga: 0.000 0.000 0.500
Ga: 0.500 0.000 0.870
Ga: 0.000 0.500 0.130
Ni: 0.500 0.500 0.000
Ni: 0.000 0.000 0.000
Ni: 0.500 0.000 0.654
Ni: 0.000 0.500 0.346
Pt: 0.500 0.500 0.500

Properties
Space-group type: P-4m2, No. 115
Energy of formation from the pure elements in meV/atom: -589.2
Final energy in eV per atom: -5.340

No. 13
Compound: K2AuO2
Source: the Alexandria database
Functional: GGA-PBE
Structure: relaxed

a = 9.607 Å, b = 3.425 Å, c = 13.277 Å
α = 90.00°, β = 108.48°, γ = 90.00°
Fractional positions:
K: 0.853 0.000 0.371
K: 0.853 0.500 0.871
K: 0.273 0.000 0.059
K: 0.273 0.500 0.559
K: 0.477 0.000 0.316
K: 0.477 0.500 0.816
K: 0.662 0.000 0.109
K: 0.662 0.500 0.609
Au: 0.140 0.000 0.276
Au: 0.140 0.500 0.776
Au: 0.992 0.000 0.637
Au: 0.992 0.500 0.137
O: 0.263 0.000 0.864
O: 0.263 0.500 0.364
O: 0.640 0.000 0.752
O: 0.640 0.500 0.252
O: 0.492 0.000 0.664
O: 0.492 0.500 0.164
O: 0.900 0.000 0.033
O: 0.900 0.500 0.533

Properties
Uncorrected formation energy in eV per formula unit: -3.99
Space-group type: Cm, No. 8
Final energy in eV per atom: -3.876

No. 14
Compound: TmScRu
Source: the Alexandria database
Functional: GGA-PBE
Structure: relaxed

a = 7.106 Å, b = 7.110 Å, c = 7.106 Å
α = 69.10°, β = 73.38°, γ = 110.90°
Fractional positions:
Tm: 0.799 0.146 0.470
Tm: 0.903 0.354 0.866
Tm: 0.780 0.646 0.451
Tm: 0.384 0.854 0.347
Ru: 0.040 0.904 0.574
Ru: 0.676 0.404 0.210
Ru: 0.522 0.096 0.864
Ru: 0.386 0.596 0.728
Sc: 0.312 0.257 0.578
Sc: 0.672 0.757 0.938
Sc: 0.305 0.243 0.085
Sc: 0.165 0.743 0.945

Properties
ΔE to the lowest computed polymorph in meV/atom: 145
Space-group type: Fdd2, No. 43
Energy of formation from the pure elements in meV/atom: -319.1
Final energy in eV per atom: -7.012

No. 15
Compound: HgAs2
Source: the Alexandria database
Functional: GGA-PBE
Structure: relaxed

a = 4.998 Å, b = 4.998 Å, c = 2.958 Å
α = 90.00°, β = 90.00°, γ = 120.00°
Fractional positions:
As: 0.333 0.667 0.500
As: 0.667 0.333 0.500
Hg: 0.000 0.000 0.000

Properties
Space-group type: P6/mmm, No. 191
Energy of formation from the pure elements in meV/atom: 336.1
Final energy in eV per atom: -2.864

No. 16
Compound: Rb2NdPu3O12
Source: the Alexandria database
Functional: GGA-PBE
Structure: relaxed

a = 7.717 Å, b = 7.717 Å, c = 7.717 Å
α = 62.87°, β = 62.87°, γ = 62.87°
Fractional positions:
Rb: 0.630 0.630 0.630
Rb: 0.370 0.370 0.370
Nd: 0.000 0.000 0.000
Pu: 0.500 0.000 0.000
Pu: 0.000 0.500 0.000
Pu: 0.000 0.000 0.500
O: 0.301 0.301 0.928
O: 0.913 0.913 0.361
O: 0.361 0.913 0.913
O: 0.928 0.301 0.301
O: 0.913 0.361 0.913
O: 0.301 0.928 0.301
O: 0.699 0.699 0.072
O: 0.087 0.087 0.639
O: 0.639 0.087 0.087
O: 0.072 0.699 0.699
O: 0.087 0.639 0.087
O: 0.699 0.072 0.699

Properties
Uncorrected formation energy in eV per formula unit: -45.42
Space-group type: R-3m, No. 166
Final energy in eV per atom: -8.590

No. 17
Compound: LiTmTcOs
Source: the Alexandria database
Functional: GGA-PBE
Structure: relaxed

a = 4.498 Å, b = 4.498 Å, c = 4.498 Å
α = 60.00°, β = 60.00°, γ = 60.00°
Fractional positions:
Tm: 0.000 0.000 0.000
Os: 0.500 0.500 0.500
Tc: 0.250 0.250 0.250
Li: 0.750 0.750 0.750

Properties
Space-group type: F-43m, No. 216
Energy of formation from the pure elements in meV/atom: 79.5
Final energy in eV per atom: -6.916

No. 18
Compound: NdTm2ScBi4
Source: the Alexandria database
Functional: GGA-PBE
Structure: relaxed

a = 4.448 Å, b = 7.691 Å, c = 7.699 Å
α = 109.49°, β = 90.00°, γ = 90.00°
Fractional positions:
Nd: 0.000 0.000 0.000
Tm: 0.500 0.000 0.500
Tm: 0.000 0.500 0.500
Sc: 0.500 0.500 0.000
Bi: 0.500 0.262 0.255
Bi: 0.500 0.738 0.745
Bi: 0.000 0.261 0.753
Bi: 0.000 0.739 0.247

Properties
Space-group type: P2/m, No. 10
Energy of formation from the pure elements in meV/atom: -771.3
Final energy in eV per atom: -5.217

No. 19
Compound: BeReTc2
Source: the Alexandria database
Functional: GGA-PBE
Structure: relaxed

a = 3.001 Å, b = 3.001 Å, c = 5.852 Å
α = 90.00°, β = 90.00°, γ = 90.00°
Fractional positions:
Re: 0.500 0.500 0.750
Tc: 0.000 0.000 0.029
Tc: 0.000 0.000 0.471
Be: 0.500 0.500 0.250

Properties
Space-group type: P4/mmm, No. 123
Energy of formation from the pure elements in meV/atom: -40.9
Final energy in eV per atom: -9.268

No. 20
Compound: AcTmAs
Source: the Alexandria database
Functional: GGA-PBE
Structure: relaxed

a = 4.501 Å, b = 4.876 Å, c = 4.876 Å
α = 120.00°, β = 90.00°, γ = 90.00°
Fractional positions:
Ac: 0.669 0.667 0.333
Tm: 0.169 0.333 0.667
As: 0.162 0.000 0.000

Properties
Space-group type: P3m1, No. 156
Energy of formation from the pure elements in meV/atom: -595.4
Final energy in eV per atom: -5.005

No. 21
Compound: YPW2
Source: the Alexandria database
Functional: GGA-PBE
Structure: relaxed

a = 5.005 Å, b = 5.005 Å, c = 4.886 Å
α = 76.44°, β = 76.44°, γ = 37.89°
Fractional positions:
Y: 0.500 0.500 0.000
P: 0.000 0.000 0.500
W: 0.276 0.276 0.683
W: 0.724 0.724 0.317

Properties
Space-group type: C2/m, No. 12
Energy of formation from the pure elements in meV/atom: 148.7
Final energy in eV per atom: -9.296

No. 22
Compound: SmDy7Th2
Source: the Alexandria database
Functional: GGA-PBE
Structure: relaxed

a = 5.542 Å, b = 8.422 Å, c = 8.422 Å
α = 84.80°, β = 109.10°, γ = 109.10°
Fractional positions:
Sm: 0.000 0.000 0.000
Dy: 0.000 0.663 0.337
Dy: 0.000 0.337 0.663
Dy: 0.251 0.101 0.402
Dy: 0.749 0.899 0.598
Dy: 0.251 0.402 0.101
Dy: 0.749 0.598 0.899
Dy: 0.500 0.500 0.500
Th: 0.500 0.844 0.156
Th: 0.500 0.156 0.844

Properties
ΔE to the lowest computed polymorph in meV/atom: 0
Space-group type: C2/m, No. 12
Energy of formation from the pure elements in meV/atom: 426.4
Final energy in eV per atom: -4.751

No. 23
Compound: SrZn5Au7
Source: the Alexandria database
Functional: GGA-PBE
Structure: relaxed

a = 5.381 Å, b = 7.137 Å, c = 7.137 Å
α = 82.69°, β = 67.86°, γ = 67.86°
Fractional positions:
Sr: 0.992 0.008 0.008
Zn: 0.502 0.996 0.495
Zn: 0.007 0.996 0.495
Zn: 0.502 0.495 0.996
Zn: 0.007 0.495 0.996
Zn: 0.730 0.770 0.770
Au: 0.647 0.353 0.353
Au: 0.328 0.672 0.672
Au: 0.994 0.349 0.662
Au: 0.994 0.662 0.349
Au: 0.274 0.226 0.226
Au: 0.511 0.786 0.192
Au: 0.511 0.192 0.786

Properties
Space-group type: Imm2, No. 44
Energy of formation from the pure elements in meV/atom: -325.9
Final energy in eV per atom: -2.710